Arrangement a

Entry from Alexandria via LeMat-Bulk: a geometry-optimized Mg6NiBi structure (PBE).

Computed properties:
Total moment   0.0 μB per cell
Space group   Amm2
Calculated density   3.92 Mg/m³

Cell: 4.782 6.653 6.653 Å, 55.94 90.00 90.00°
Sites, in units of the cell vectors:
Mg  0.000  0.000  0.000
Mg  0.000  0.504  0.972
Mg  0.000  0.972  0.504
Mg  0.500  0.139  0.659
Mg  0.500  0.159  0.159
Mg  0.500  0.659  0.139
Ni  0.500  0.716  0.716
Bi  0.000  0.503  0.503

Arrangement b

Entry from Alexandria via LeMat-Bulk: a geometry-optimized Mg6NiBi structure (PBE).

Computed properties:
Total moment   0.0 μB per cell
Space group   Amm2
Calculated density   4.02 Mg/m³

Cell: 4.870 6.295 6.295 Å, 62.29 90.00 90.00°
Sites, in units of the cell vectors:
Mg  0.000  0.000  0.000
Mg  0.000  0.026  0.471
Mg  0.000  0.471  0.026
Mg  0.000  0.487  0.487
Mg  0.500  0.323  0.813
Mg  0.500  0.813  0.323
Ni  0.500  0.335  0.335
Bi  0.500  0.821  0.821

If you had to name the least stable structure above, which would it be? It would be arrangement b.